No. 1
VASP calculation (PBE) on crystalline Mg2AuCl at its relaxed geometry.

## Properties
As for the formation energy from raw total energies: -0.52 eV per atom. As for the total DFT energy (no corrections): -2.603 eV/atom. Its space-group type is I-4m2 (119). The volume is 21.59 Å³/atom. As for the density of states at the Fermi level: 1.4 states/eV/f.u. For the energy above the most stable polymorph in this dataset, the calculation gives 0.326 eV/atom. Its size of the total moment is 0.0 μB/cell.

```
data_Mg2AuCl
_chemical_formula_sum 'Mg2 Au1 Cl1'
_symmetry_space_group_name_H-M 'P 1'
_symmetry_Int_Tables_number 1
_symmetry_space_group_name_Hall 'P 1'
_cell_length_a 6.465
_cell_length_b 6.465
_cell_length_c 6.465
_cell_angle_alpha 145.48
_cell_angle_beta 145.48
_cell_angle_gamma 49.62
loop_
_atom_site_label
_atom_site_fract_x
_atom_site_fract_y
_atom_site_fract_z
Mg1 0.000 0.000 0.000
Mg2 0.750 0.250 0.500
Au1 0.250 0.750 0.500
Cl1 0.500 0.500 0.000
```

No. 2
VASP calculation (PBE) on crystalline TcSb4Cl at its relaxed geometry.

## Properties
As for the formation energy from raw total energies: 0.72 eV per atom. As for the total DFT energy (no corrections): -4.060 eV/atom. Its space-group type is F-43m (216). The volume is 27.77 Å³/atom. As for the density of states at the Fermi level: 2.9 states/eV/f.u. Its size of the total moment is 4.0 μB/cell.

```
data_TcSb4Cl
_chemical_formula_sum 'Tc1 Sb4 Cl1'
_symmetry_space_group_name_H-M 'P 1'
_symmetry_Int_Tables_number 1
_symmetry_space_group_name_Hall 'P 1'
_cell_length_a 6.177
_cell_length_b 6.177
_cell_length_c 6.177
_cell_angle_alpha 60.00
_cell_angle_beta 60.00
_cell_angle_gamma 60.00
loop_
_atom_site_label
_atom_site_fract_x
_atom_site_fract_y
_atom_site_fract_z
Tc1 0.000 0.000 0.000
Sb1 0.379 0.379 0.379
Sb2 0.379 0.379 0.863
Sb3 0.379 0.863 0.379
Sb4 0.863 0.379 0.379
Cl1 0.750 0.750 0.750
```

No. 3
VASP calculation (PBE) on crystalline BePd2Au2 at its relaxed geometry.

## Properties
As for the total DFT energy (no corrections): -4.105 eV/atom. Its space-group type is P4/mbm (127). The volume is 16.27 Å³/atom. Its energy of formation is 0.03 eV/atom. As for the density of states at the Fermi level: 2.5 states/eV/f.u. For the energy above the most stable polymorph in this dataset, the calculation gives 0.342 eV/atom. Its size of the total moment is 0.0 μB/cell.

```
data_BePd2Au2
_chemical_formula_sum 'Be2 Pd4 Au4'
_symmetry_space_group_name_H-M 'P 1'
_symmetry_Int_Tables_number 1
_symmetry_space_group_name_Hall 'P 1'
_cell_length_a 6.116
_cell_length_b 6.116
_cell_length_c 4.349
_cell_angle_alpha 90.00
_cell_angle_beta 90.00
_cell_angle_gamma 90.00
loop_
_atom_site_label
_atom_site_fract_x
_atom_site_fract_y
_atom_site_fract_z
Be1 0.000 0.000 0.000
Be2 0.500 0.500 0.000
Pd1 0.161 0.339 0.500
Pd2 0.339 0.839 0.500
Pd3 0.661 0.161 0.500
Pd4 0.839 0.661 0.500
Au1 0.155 0.655 0.000
Au2 0.345 0.155 0.000
Au3 0.655 0.845 0.000
Au4 0.845 0.345 0.000
```

No. 4
VASP calculation (PBE) on crystalline K2CdAu at its relaxed geometry.

## Properties
As for the total DFT energy (no corrections): -1.641 eV/atom. Its space-group type is I-42d (122). The volume is 37.51 Å³/atom. Its energy of formation is -0.04 eV/atom. As for the density of states at the Fermi level: 1.8 states/eV/f.u. Its size of the total moment is 0.0 μB/cell.

```
data_K2CdAu
_chemical_formula_sum 'K4 Cd2 Au2'
_symmetry_space_group_name_H-M 'P 1'
_symmetry_Int_Tables_number 1
_symmetry_space_group_name_Hall 'P 1'
_cell_length_a 7.481
_cell_length_b 7.481
_cell_length_c 7.481
_cell_angle_alpha 101.63
_cell_angle_beta 101.63
_cell_angle_gamma 126.65
loop_
_atom_site_label
_atom_site_fract_x
_atom_site_fract_y
_atom_site_fract_z
K1 0.087 0.625 0.962
K2 0.375 0.337 0.462
K3 0.663 0.125 0.038
K4 0.875 0.913 0.538
Cd1 0.250 0.750 0.500
Cd2 0.500 0.500 0.000
Au1 0.000 0.000 0.000
Au2 0.750 0.250 0.500
```

No. 5
VASP calculation (PBE) on crystalline TcTeI2F at its relaxed geometry.

## Properties
As for the formation energy from raw total energies: 0.60 eV per atom. As for the total DFT energy (no corrections): -3.094 eV/atom. Its space-group type is P4/mmm (123). The volume is 29.18 Å³/atom. As for the density of states at the Fermi level: 3.8 states/eV/f.u. For the energy above the most stable polymorph in this dataset, the calculation gives 0.387 eV/atom. Its size of the total moment is 4.2 μB/cell.

```
data_TcTeI2F
_chemical_formula_sum 'Tc1 Te1 I2 F1'
_symmetry_space_group_name_H-M 'P 1'
_symmetry_Int_Tables_number 1
_symmetry_space_group_name_Hall 'P 1'
_cell_length_a 5.867
_cell_length_b 5.867
_cell_length_c 4.238
_cell_angle_alpha 90.00
_cell_angle_beta 90.00
_cell_angle_gamma 90.00
loop_
_atom_site_label
_atom_site_fract_x
_atom_site_fract_y
_atom_site_fract_z
Tc1 0.000 0.000 0.000
Te1 0.500 0.500 0.000
I1 0.000 0.500 0.500
I2 0.500 0.000 0.500
F1 0.500 0.500 0.500
```

No. 6
VASP calculation (PBE) on crystalline B2C at its relaxed geometry.

## Properties
As for the total DFT energy (no corrections): -7.111 eV/atom. Its space-group type is P3m1 (156). The volume is 8.91 Å³/atom. Its energy of formation is 0.42 eV/atom. As for the density of states at the Fermi level: 0.3 states/eV/f.u. For the energy above the most stable polymorph in this dataset, the calculation gives 0.230 eV/atom. Its size of the total moment is 0.0 μB/cell.

```
data_B2C
_chemical_formula_sum 'B8 C4'
_symmetry_space_group_name_H-M 'P 1'
_symmetry_Int_Tables_number 1
_symmetry_space_group_name_Hall 'P 1'
_cell_length_a 2.733
_cell_length_b 2.733
_cell_length_c 16.528
_cell_angle_alpha 90.00
_cell_angle_beta 90.00
_cell_angle_gamma 120.00
loop_
_atom_site_label
_atom_site_fract_x
_atom_site_fract_y
_atom_site_fract_z
B1 0.000 0.000 0.000
B2 0.000 0.000 0.100
B3 0.333 0.667 0.120
B4 0.333 0.667 0.348
B5 0.333 0.667 0.602
B6 0.333 0.667 0.837
B7 0.667 0.333 0.457
B8 0.667 0.333 0.938
C1 0.000 0.000 0.497
C2 0.000 0.000 0.591
C3 0.667 0.333 0.357
C4 0.667 0.333 0.843
```

No. 7
VASP calculation (PBE) on crystalline NdSm3Sn3 at its relaxed geometry.

## Properties
As for the total DFT energy (no corrections): -4.963 eV/atom. Its space-group type is P6_3/m (176). The volume is 29.74 Å³/atom. Its energy of formation is -0.54 eV/atom. As for the density of states at the Fermi level: 6.4 states/eV/f.u. Its size of the total moment is 0.0 μB/cell.

```
data_NdSm3Sn3
_chemical_formula_sum 'Nd2 Sm6 Sn6'
_symmetry_space_group_name_H-M 'P 1'
_symmetry_Int_Tables_number 1
_symmetry_space_group_name_Hall 'P 1'
_cell_length_a 9.420
_cell_length_b 9.420
_cell_length_c 5.417
_cell_angle_alpha 90.00
_cell_angle_beta 90.00
_cell_angle_gamma 120.00
loop_
_atom_site_label
_atom_site_fract_x
_atom_site_fract_y
_atom_site_fract_z
Nd1 0.333 0.667 0.250
Nd2 0.667 0.333 0.750
Sm1 0.000 0.241 0.250
Sm2 0.000 0.759 0.750
Sm3 0.241 0.000 0.250
Sm4 0.241 0.241 0.750
Sm5 0.759 0.000 0.750
Sm6 0.759 0.759 0.250
Sn1 0.073 0.452 0.750
Sn2 0.379 0.927 0.750
Sn3 0.452 0.379 0.250
Sn4 0.548 0.621 0.750
Sn5 0.621 0.073 0.250
Sn6 0.927 0.548 0.250
```

No. 8
VASP calculation (PBE) on crystalline PuHfW4 at its relaxed geometry.

## Properties
As for the total DFT energy (no corrections): -12.495 eV/atom. Its space-group type is F-43m (216). The volume is 19.09 Å³/atom. Its energy of formation is 0.19 eV/atom. As for the density of states at the Fermi level: 14.8 states/eV/f.u. Its size of the total moment is 4.8 μB/cell.

```
data_PuHfW4
_chemical_formula_sum 'Pu1 Hf1 W4'
_symmetry_space_group_name_H-M 'P 1'
_symmetry_Int_Tables_number 1
_symmetry_space_group_name_Hall 'P 1'
_cell_length_a 5.451
_cell_length_b 5.451
_cell_length_c 5.451
_cell_angle_alpha 60.00
_cell_angle_beta 60.00
_cell_angle_gamma 60.00
loop_
_atom_site_label
_atom_site_fract_x
_atom_site_fract_y
_atom_site_fract_z
Pu1 0.000 0.000 0.000
Hf1 0.250 0.250 0.250
W1 0.125 0.625 0.625
W2 0.625 0.125 0.625
W3 0.625 0.625 0.125
W4 0.625 0.625 0.625
```

No. 9
VASP calculation (PBE) on crystalline BaNaTeI at its relaxed geometry.

## Properties
As for the formation energy from raw total energies: -1.45 eV per atom. As for the total DFT energy (no corrections): -3.437 eV/atom. Its space-group type is R-3m (166). The volume is 44.76 Å³/atom. As for the density of states at the Fermi level: 0.0 states/eV/f.u. Its size of the total moment is 0.0 μB/cell.

```
data_BaNaTeI
_chemical_formula_sum 'Ba2 Na2 Te2 I2'
_symmetry_space_group_name_H-M 'P 1'
_symmetry_Int_Tables_number 1
_symmetry_space_group_name_Hall 'P 1'
_cell_length_a 15.951
_cell_length_b 15.951
_cell_length_c 15.951
_cell_angle_alpha 18.53
_cell_angle_beta 18.53
_cell_angle_gamma 18.53
loop_
_atom_site_label
_atom_site_fract_x
_atom_site_fract_y
_atom_site_fract_z
Ba1 0.088 0.088 0.088
Ba2 0.912 0.912 0.912
Na1 0.311 0.311 0.311
Na2 0.689 0.689 0.689
Te1 0.379 0.379 0.379
Te2 0.621 0.621 0.621
I1 0.207 0.207 0.207
I2 0.793 0.793 0.793
```

No. 10
VASP calculation (PBE) on crystalline Co2NiSe4 at its relaxed geometry.

## Properties
As for the formation energy from raw total energies: -0.28 eV per atom. As for the total DFT energy (no corrections): -5.127 eV/atom. Its space-group type is C2/m (12). The volume is 16.51 Å³/atom. As for the density of states at the Fermi level: 5.3 states/eV/f.u. For the energy above the most stable polymorph in this dataset, the calculation gives 0.059 eV/atom. Its size of the total moment is 0.0 μB/cell.

```
data_Co2NiSe4
_chemical_formula_sum 'Co2 Ni1 Se4'
_symmetry_space_group_name_H-M 'P 1'
_symmetry_Int_Tables_number 1
_symmetry_space_group_name_Hall 'P 1'
_cell_length_a 6.266
_cell_length_b 6.266
_cell_length_c 6.160
_cell_angle_alpha 118.02
_cell_angle_beta 118.02
_cell_angle_gamma 33.25
loop_
_atom_site_label
_atom_site_fract_x
_atom_site_fract_y
_atom_site_fract_z
Co1 0.239 0.239 0.220
Co2 0.761 0.761 0.780
Ni1 0.500 0.500 0.500
Se1 0.137 0.137 0.477
Se2 0.375 0.375 0.040
Se3 0.625 0.625 0.960
Se4 0.863 0.863 0.523
```

No. 11
VASP calculation (PBE) on crystalline Zr2WC at its relaxed geometry.

## Properties
As for the total DFT energy (no corrections): -9.517 eV/atom. Its space-group type is P2/m (10). The volume is 16.90 Å³/atom. Its energy of formation is 0.30 eV/atom. As for the density of states at the Fermi level: 3.7 states/eV/f.u. Its size of the total moment is 0.0 μB/cell.

```
data_Zr2WC
_chemical_formula_sum 'Zr2 W1 C1'
_symmetry_space_group_name_H-M 'P 1'
_symmetry_Int_Tables_number 1
_symmetry_space_group_name_Hall 'P 1'
_cell_length_a 3.318
_cell_length_b 3.184
_cell_length_c 6.528
_cell_angle_alpha 90.00
_cell_angle_beta 101.41
_cell_angle_gamma 90.00
loop_
_atom_site_label
_atom_site_fract_x
_atom_site_fract_y
_atom_site_fract_z
Zr1 0.132 0.000 0.282
Zr2 0.868 0.000 0.718
W1 0.500 0.500 0.000
C1 0.500 0.500 0.500
```

No. 12
VASP calculation (PBE) on crystalline NdThGaSi at its relaxed geometry.

## Properties
As for the formation energy from raw total energies: -0.65 eV per atom. As for the total DFT energy (no corrections): -5.807 eV/atom. Its space-group type is Amm2 (38). The volume is 25.14 Å³/atom. As for the density of states at the Fermi level: 4.1 states/eV/f.u. Its size of the total moment is 0.0 μB/cell.

```
data_NdThGaSi
_chemical_formula_sum 'Nd1 Th1 Ga1 Si1'
_symmetry_space_group_name_H-M 'P 1'
_symmetry_Int_Tables_number 1
_symmetry_space_group_name_Hall 'P 1'
_cell_length_a 4.051
_cell_length_b 6.030
_cell_length_c 6.030
_cell_angle_alpha 43.05
_cell_angle_beta 90.00
_cell_angle_gamma 90.00
loop_
_atom_site_label
_atom_site_fract_x
_atom_site_fract_y
_atom_site_fract_z
Nd1 0.000 0.000 0.000
Th1 0.500 0.283 0.283
Ga1 0.500 0.569 0.569
Si1 0.000 0.717 0.717
```

No. 13
VASP calculation (PBE) on crystalline Y2VZn at its relaxed geometry.

## Properties
As for the total DFT energy (no corrections): -5.135 eV/atom. Its space-group type is I-42d (122). The volume is 25.17 Å³/atom. Its energy of formation is 0.70 eV/atom. As for the density of states at the Fermi level: 6.6 states/eV/f.u. Its size of the total moment is 5.7 μB/cell.

```
data_Y2VZn
_chemical_formula_sum 'Y4 V2 Zn2'
_symmetry_space_group_name_H-M 'P 1'
_symmetry_Int_Tables_number 1
_symmetry_space_group_name_Hall 'P 1'
_cell_length_a 10.729
_cell_length_b 10.729
_cell_length_c 10.729
_cell_angle_alpha 156.17
_cell_angle_beta 156.17
_cell_angle_gamma 33.95
loop_
_atom_site_label
_atom_site_fract_x
_atom_site_fract_y
_atom_site_fract_z
Y1 0.122 0.625 0.997
Y2 0.375 0.372 0.497
Y3 0.628 0.125 0.003
Y4 0.875 0.878 0.503
V1 0.250 0.750 0.500
V2 0.500 0.500 0.000
Zn1 0.000 0.000 0.000
Zn2 0.750 0.250 0.500
```